(1)
VASP calculation (GGA-PBE) on a geometry-optimized K2AgIr structure.

Lattice parameters (Å, degrees): 2.9413 4.4310 9.6599 90.00 90.00 90.00
Positions (direct):
K  0.0000  0.0000  0.0000
K  0.5000  0.5000  0.4335
Ag  0.0000  0.0000  0.6838
Ir  0.5000  0.5000  0.7510

Computed properties:
The energy above the most stable polymorph in this dataset is 3 meV/atom. The calculation puts the calculated formation energy at 525 meV per atom. The space group is Pmm2, No. 25. The crystal system is orthorhombic.

=====

(2)
VASP calculation (GGA-PBE) on a geometry-optimized Cr4AgSe structure.

Lattice parameters (Å, degrees): 4.9202 4.9202 4.9202 60.00 60.00 60.00
Positions (direct):
Cr  0.3797  0.3797  0.3797
Cr  0.3797  0.3797  0.8610
Cr  0.3797  0.8610  0.3797
Cr  0.8610  0.3797  0.3797
Ag  0.7500  0.7500  0.7500
Se  0.0000  0.0000  0.0000

Computed properties:
The energy is -6.8217 eV/atom. The space group is F-43m, No. 216. The crystal system is cubic.

=====

(3)
VASP calculation (GGA-PBE) on a geometry-optimized K3CaPu2Se6 structure.

Lattice parameters (Å, degrees): 7.4097 7.4097 8.0190 98.86 98.86 120.01
Positions (direct):
K  0.0000  0.0000  0.0000
K  0.3367  0.6633  0.0000
K  0.6633  0.3367  0.0000
Ca  0.5000  0.5000  0.5000
Pu  0.1670  0.8330  0.5000
Pu  0.8330  0.1670  0.5000
Se  0.0861  0.4316  0.2955
Se  0.2227  0.2227  0.7040
Se  0.4316  0.0861  0.2955
Se  0.5684  0.9139  0.7045
Se  0.7773  0.7773  0.2960
Se  0.9139  0.5684  0.7045

Computed properties:
The energy is -6.0793 eV/atom. The space group is C2/m, No. 12. The crystal system is monoclinic.

=====

(4)
VASP calculation (GGA-PBE) on a geometry-optimized Cs8Au3Br4Cl structure.

Lattice parameters (Å, degrees): 10.3971 10.3971 10.4281 119.90 119.90 59.99
Positions (direct):
Cs  0.2446  0.7540  0.7526
Cs  0.2460  0.7554  0.2474
Cs  0.2468  0.2468  0.2481
Cs  0.2490  0.2490  0.7469
Cs  0.7510  0.7510  0.2531
Cs  0.7532  0.7532  0.7519
Cs  0.7540  0.2446  0.7526
Cs  0.7554  0.2460  0.2474
Au  0.0000  0.5000  0.0000
Au  0.5000  0.0000  0.0000
Au  0.5000  0.5000  0.0000
Br  0.0000  0.0000  0.5000
Br  0.0000  0.5000  0.5000
Br  0.5000  0.0000  0.5000
Br  0.5000  0.5000  0.5000
Cl  0.0000  0.0000  0.0000

Computed properties:
The energy is -2.8359 eV/atom. The space group is C2/m, No. 12. The crystal system is monoclinic.

=====

(5)
VASP calculation (GGA-PBE) on a geometry-optimized Dy2MnNi structure.

Lattice parameters (Å, degrees): 3.4097 3.4097 7.0016 90.00 90.00 90.00
Positions (direct):
Dy  0.0000  0.0000  0.2376
Dy  0.0000  0.0000  0.7624
Mn  0.5000  0.5000  0.5000
Ni  0.5000  0.5000  0.0000

Computed properties:
The calculation puts the calculated formation energy at -87 meV per atom. The space group is P4/mmm, No. 123. The crystal system is tetragonal.

=====

(6)
VASP calculation (GGA-PBE) on a geometry-optimized TmTe2O5 structure.

Lattice parameters (Å, degrees): 7.3379 10.6285 6.9307 90.00 90.00 90.00
Positions (direct):
Tm  0.0000  0.0561  0.2500
Tm  0.0000  0.9439  0.7500
Tm  0.5000  0.4439  0.7500
Tm  0.5000  0.5561  0.2500
Te  0.1099  0.3500  0.0137
Te  0.1099  0.6500  0.5137
Te  0.3901  0.1500  0.5137
Te  0.3901  0.8500  0.0137
Te  0.6099  0.1500  0.9863
Te  0.6099  0.8500  0.4863
Te  0.8901  0.3500  0.4863
Te  0.8901  0.6500  0.9863
O  0.0000  0.4381  0.2500
O  0.0000  0.5619  0.7500
O  0.1555  0.0658  0.5315
O  0.1555  0.9342  0.0315
O  0.1853  0.2106  0.1731
O  0.1853  0.7894  0.6731
O  0.3147  0.2894  0.6731
O  0.3147  0.7106  0.1731
O  0.3445  0.4342  0.0315
O  0.3445  0.5658  0.5315
O  0.5000  0.0619  0.7500
O  0.5000  0.9381  0.2500
O  0.6555  0.4342  0.4685
O  0.6555  0.5658  0.9685
O  0.6853  0.2894  0.8269
O  0.6853  0.7106  0.3269
O  0.8147  0.2106  0.3269
O  0.8147  0.7894  0.8269
O  0.8445  0.0658  0.9685
O  0.8445  0.9342  0.4685

Computed properties:
The energy is -6.1459 eV/atom. The space group is Pbcn, No. 60. The crystal system is orthorhombic.